Below is a PBEsol-optimized structure of Fe2HgSb, with properties calculated at the meta-GGA SCAN level.

a b c (Å): 4.662 4.662 6.817
angles (deg): 119.10 119.10 38.21
Sites, in units of the cell vectors:
Fe1 0.222 0.222 0.354
Fe2 0.778 0.778 0.646
Hg1 0.500 0.500 0.000
Sb1 0.000 0.000 0.500

Its raw formation energy is 0.33 eV per atom. For the total magnetization, the calculation gives 5.16 μB/f.u. Its crystal system is monoclinic.